Compound: RbZnAgCl5
Source: the Alexandria database
Functional: PBE-GGA
Structure: optimized geometry

Results
Total magnetic moment   0.00 μB per cell
Raw total energy   -2.849 eV/atom
Space group   C2/c
E_form (uncorrected)   -1.0585 eV/atom

a = 7.6561 Å, b = 7.6561 Å, c = 9.5465 Å
α = 102.84°, β = 102.84°, γ = 112.14°
Element x y z (fractional)
Rb 0.6761 0.3239 0.7500
Rb 0.3239 0.6761 0.2500
Cl 0.0514 0.9486 0.2500
Cl 0.3298 0.8592 0.6013
Cl 0.6438 0.7422 0.9214
Cl 0.7422 0.6438 0.4214
Cl 0.1408 0.6702 0.8987
Cl 0.8592 0.3298 0.1013
Cl 0.6702 0.1408 0.3987
Cl 0.2578 0.3562 0.5786
Cl 0.3562 0.2578 0.0786
Cl 0.9486 0.0514 0.7500
Ag 0.0000 0.0000 0.5000
Ag 0.0000 0.0000 0.0000
Zn 0.3294 0.6706 0.7500
Zn 0.6706 0.3294 0.2500

Compound: Rb3ZnAg3Cl8
Source: the Alexandria database
Functional: PBE-GGA
Structure: optimized geometry

Results
Total magnetic moment   0.00 μB per cell
Raw total energy   -2.963 eV/atom
Space group   C2/m
E_form (uncorrected)   -1.1299 eV/atom

a = 8.1070 Å, b = 8.3838 Å, c = 8.7588 Å
α = 118.42°, β = 90.00°, γ = 118.91°
Element x y z (fractional)
Rb 0.0000 0.5000 0.0000
Rb 0.0000 0.0000 0.0000
Rb 0.5000 0.5000 0.0000
Cl 0.2621 0.5243 0.3042
Cl 0.2322 0.0123 0.3094
Cl 0.7892 0.5785 0.3184
Cl 0.2199 0.9877 0.6906
Cl 0.7379 0.4757 0.6958
Cl 0.7801 0.0123 0.3094
Cl 0.7678 0.9877 0.6906
Cl 0.2108 0.4215 0.6816
Ag 0.0000 0.5000 0.5000
Ag 0.5000 0.5000 0.5000
Ag 0.5000 0.0000 0.5000
Zn 0.0000 0.0000 0.5000

Compound: Rb2ZnAgCl5
Source: the Alexandria database
Functional: PBE-GGA
Structure: optimized geometry

Results
Total magnetic moment   0.00 μB per cell
Raw total energy   -3.047 eV/atom
Space group   Cmc2_1
E_form (uncorrected)   -1.3480 eV/atom

a = 4.0866 Å, b = 10.1466 Å, c = 13.4094 Å
α = 90.00°, β = 90.00°, γ = 101.62°
Element x y z (fractional)
Rb 0.8734 0.7468 0.8149
Rb 0.1298 0.2597 0.6844
Rb 0.1266 0.2532 0.3149
Rb 0.8702 0.7403 0.1844
Cl 0.6778 0.3556 0.8895
Cl 0.3222 0.6444 0.3895
Cl 0.9575 0.9151 0.5174
Cl 0.3538 0.7077 0.9999
Cl 0.2974 0.5948 0.6600
Cl 0.6462 0.2923 0.4999
Cl 0.5084 0.0168 0.7864
Cl 0.0425 0.0849 0.0174
Cl 0.7026 0.4052 0.1600
Cl 0.4916 0.9832 0.2864
Ag 0.2262 0.4523 0.0392
Ag 0.7738 0.5477 0.5392
Zn 0.4331 0.8661 0.4323
Zn 0.5669 0.1339 0.9323

Compound: Rb3Zn2AgCl9
Source: the Alexandria database
Functional: PBE-GGA
Structure: optimized geometry

Results
Total magnetic moment   0.00 μB per cell
Raw total energy   -2.931 eV/atom
Space group   P-3m1
E_form (uncorrected)   -1.2695 eV/atom

a = 7.1576 Å, b = 7.1576 Å, c = 8.8036 Å
α = 90.00°, β = 90.00°, γ = 120.00°
Element x y z (fractional)
Cl 0.6558 0.8279 0.3265
Cl 0.3442 0.1721 0.6735
Cl 0.1721 0.8279 0.3265
Cl 0.8279 0.6558 0.6735
Cl 0.0000 0.5000 0.0000
Cl 0.5000 0.5000 0.0000
Cl 0.1721 0.3442 0.3265
Cl 0.5000 0.0000 0.0000
Cl 0.8279 0.1721 0.6735
Zn 0.3333 0.6667 0.1632
Zn 0.6667 0.3333 0.8368
Rb 0.3333 0.6667 0.6657
Rb 0.6667 0.3333 0.3343
Rb 0.0000 0.0000 0.0000
Ag 0.0000 0.0000 0.5000